# 1
A plane-wave DFT calculation with PBE-GGA was carried out for a relaxed Rb4Mg5 crystal.

Computed properties:
Energy relative to the lowest polymorph listed for this composition (meV/atom): 16
Formation energy from the elements (eV/atom): 0.362
Density (g/cm3): 1.87
Raw total energy (eV per atom): -0.9540
Symmetry: No. 193

The structure in POSCAR format:
```
Rb4Mg5
1.0
11.1718 0.0000 0.0000
-5.5859 9.6751 0.0000
0.0000 0.0000 7.6214
Rb Mg
8 10
Direct
0.0000 0.0000 0.0000 Rb
0.0000 0.0000 0.5000 Rb
0.0000 0.3498 0.2500 Rb
0.0000 0.6502 0.7500 Rb
0.3498 0.0000 0.2500 Rb
0.3498 0.3498 0.7500 Rb
0.6502 0.0000 0.7500 Rb
0.6502 0.6502 0.2500 Rb
0.0000 0.3345 0.7500 Mg
0.0000 0.6655 0.2500 Mg
0.3333 0.6667 0.0000 Mg
0.3333 0.6667 0.5000 Mg
0.3345 0.0000 0.7500 Mg
0.3345 0.3345 0.2500 Mg
0.6655 0.0000 0.2500 Mg
0.6655 0.6655 0.7500 Mg
0.6667 0.3333 0.0000 Mg
0.6667 0.3333 0.5000 Mg
```

# 2
A plane-wave DFT calculation with PBE-GGA was carried out for a relaxed Rb5Mg crystal.

Computed properties:
Energy relative to the lowest polymorph listed for this composition (meV/atom): 171
Formation energy from the elements (eV/atom): 0.275
Density (g/cm3): 1.37
Raw total energy (eV per atom): -0.7969
Symmetry: No. 191

The structure in POSCAR format:
```
Rb5Mg
1.0
8.7377 0.0000 0.0000
-4.3689 7.5671 0.0000
0.0000 0.0000 8.3041
Rb Mg
5 1
Direct
0.0000 0.5000 0.0000 Rb
0.3333 0.6667 0.5000 Rb
0.5000 0.0000 0.0000 Rb
0.5000 0.5000 0.0000 Rb
0.6667 0.3333 0.5000 Rb
0.0000 0.0000 0.5000 Mg
```

# 3
A plane-wave DFT calculation with PBE-GGA was carried out for a relaxed Rb5Mg crystal.

Computed properties:
Energy relative to the lowest polymorph listed for this composition (meV/atom): 25
Formation energy from the elements (eV/atom): 0.130
Density (g/cm3): 1.70
Raw total energy (eV per atom): -0.9423
Symmetry: No. 189

The structure in POSCAR format:
```
Rb5Mg
1.0
8.2092 0.0000 0.0000
-4.1046 7.1094 0.0000
0.0000 0.0000 7.5424
Rb Mg
5 1
Direct
0.0000 0.6928 0.0000 Rb
0.3072 0.3072 0.0000 Rb
0.3333 0.6667 0.5000 Rb
0.6667 0.3333 0.5000 Rb
0.6928 0.0000 0.0000 Rb
0.0000 0.0000 0.5000 Mg
```

# 4
A plane-wave DFT calculation with PBE-GGA was carried out for a relaxed RbMg2 crystal.

Computed properties:
Formation energy from the elements (eV/atom): 0.217
Density (g/cm3): 1.67
Raw total energy (eV per atom): -1.1690
Symmetry: No. 63

The structure in POSCAR format:
```
RbMg2
1.0
5.0791 0.0000 0.0000
0.0000 21.0407 0.0000
0.0000 0.0000 4.9910
Rb Mg
4 8
Direct
0.0000 0.0919 0.2500 Rb
0.0000 0.9081 0.7500 Rb
0.5000 0.4081 0.7500 Rb
0.5000 0.5919 0.2500 Rb
0.0000 0.2478 0.7500 Mg
0.0000 0.3349 0.2500 Mg
0.0000 0.6651 0.7500 Mg
0.0000 0.7522 0.2500 Mg
0.5000 0.1651 0.7500 Mg
0.5000 0.2522 0.2500 Mg
0.5000 0.7478 0.7500 Mg
0.5000 0.8349 0.2500 Mg
```

# 5
A plane-wave DFT calculation with PBE-GGA was carried out for a relaxed Rb3Mg crystal.

Computed properties:
Formation energy from the elements (eV/atom): 0.211
Density (g/cm3): 1.74
Raw total energy (eV per atom): -0.9132
Symmetry: No. 166

The structure in POSCAR format:
```
Rb3Mg
1.0
14.2963 0.0000 0.0000
-7.1482 12.3810 0.0000
0.0000 0.0000 4.5476
Rb Mg
9 3
Direct
0.0000 0.5000 0.0000 Rb
0.1667 0.3333 0.3333 Rb
0.1667 0.8333 0.3333 Rb
0.3333 0.1667 0.6667 Rb
0.5000 0.0000 0.0000 Rb
0.5000 0.5000 0.0000 Rb
0.6667 0.8333 0.3333 Rb
0.8333 0.1667 0.6667 Rb
0.8333 0.6667 0.6667 Rb
0.0000 0.0000 0.0000 Mg
0.3333 0.6667 0.6667 Mg
0.6667 0.3333 0.3333 Mg
```

# 6
A plane-wave DFT calculation with PBE-GGA was carried out for a relaxed Rb5Mg crystal.

Computed properties:
Energy relative to the lowest polymorph listed for this composition (meV/atom): 16
Formation energy from the elements (eV/atom): 0.120
Density (g/cm3): 1.70
Raw total energy (eV per atom): -0.9516
Symmetry: No. 38

The structure in POSCAR format:
```
Rb5Mg
1.0
6.8896 0.0000 0.0000
0.0000 6.4078 0.0000
0.0000 0.0000 19.9485
Rb Mg
10 2
Direct
0.0000 0.0000 0.0000 Rb
0.0000 0.0000 0.2945 Rb
0.0000 0.5000 0.5000 Rb
0.0000 0.5000 0.7945 Rb
0.5000 0.0000 0.1471 Rb
0.5000 0.0000 0.4910 Rb
0.5000 0.0000 0.8030 Rb
0.5000 0.5000 0.3030 Rb
0.5000 0.5000 0.6471 Rb
0.5000 0.5000 0.9910 Rb
0.0000 0.0000 0.6462 Mg
0.0000 0.5000 0.1462 Mg
```

# 7
A plane-wave DFT calculation with PBE-GGA was carried out for a relaxed RbMg4 crystal.

Computed properties:
Energy relative to the lowest polymorph listed for this composition (meV/atom): 0
Formation energy from the elements (eV/atom): 0.224
Density (g/cm3): 1.79
Raw total energy (eV per atom): -1.2454
Symmetry: No. 139

The structure in POSCAR format:
```
RbMg4
1.0
4.9116 0.0000 0.0000
0.0000 4.9116 0.0000
0.0000 0.0000 14.0833
Rb Mg
2 8
Direct
0.0000 0.0000 0.0000 Rb
0.5000 0.5000 0.5000 Rb
0.0000 0.0000 0.3874 Mg
0.0000 0.0000 0.6126 Mg
0.0000 0.5000 0.2500 Mg
0.0000 0.5000 0.7500 Mg
0.5000 0.0000 0.2500 Mg
0.5000 0.0000 0.7500 Mg
0.5000 0.5000 0.1126 Mg
0.5000 0.5000 0.8874 Mg
```

# 8
A plane-wave DFT calculation with PBE-GGA was carried out for a relaxed Rb3Mg2 crystal.

Computed properties:
Energy relative to the lowest polymorph listed for this composition (meV/atom): 76
Formation energy from the elements (eV/atom): 0.323
Density (g/cm3): 1.71
Raw total energy (eV per atom): -0.8953
Symmetry: No. 166

The structure in POSCAR format:
```
Rb3Mg2
1.0
4.5424 0.0000 0.0000
-2.2712 3.9338 0.0000
0.0000 0.0000 49.6773
Rb Mg
9 6
Direct
0.0000 0.0000 0.0000 Rb
0.0000 0.0000 0.2103 Rb
0.0000 0.0000 0.7897 Rb
0.3333 0.6667 0.4564 Rb
0.3333 0.6667 0.6667 Rb
0.3333 0.6667 0.8770 Rb
0.6667 0.3333 0.1230 Rb
0.6667 0.3333 0.3333 Rb
0.6667 0.3333 0.5436 Rb
0.0000 0.0000 0.3958 Mg
0.0000 0.0000 0.6042 Mg
0.3333 0.6667 0.0624 Mg
0.3333 0.6667 0.2709 Mg
0.6667 0.3333 0.7291 Mg
0.6667 0.3333 0.9376 Mg
```

# 9
A plane-wave DFT calculation with PBE-GGA was carried out for a relaxed RbMg3 crystal.

Computed properties:
Energy relative to the lowest polymorph listed for this composition (meV/atom): 8
Formation energy from the elements (eV/atom): 0.195
Density (g/cm3): 1.98
Raw total energy (eV per atom): -1.2430
Symmetry: No. 10

The structure in POSCAR format:
```
RbMg3
1.0
3.2801 0.0000 0.0000
0.0000 4.6995 0.0000
-0.2704 0.0000 8.6047
Rb Mg
1 3
Direct
0.0000 0.0000 0.0000 Rb
0.0000 0.0000 0.5000 Mg
0.4973 0.5000 0.3214 Mg
0.5027 0.5000 0.6786 Mg
```

# 10
A plane-wave DFT calculation with PBE-GGA was carried out for a relaxed RbMg2 crystal.

Computed properties:
Formation energy from the elements (eV/atom): 0.184
Density (g/cm3): 2.00
Raw total energy (eV per atom): -1.2020
Symmetry: No. 227

The structure in POSCAR format:
```
RbMg2
1.0
0.0000 4.8072 4.8072
4.8072 0.0000 4.8072
4.8072 4.8072 0.0000
Rb Mg
2 4
Direct
0.1250 0.1250 0.1250 Rb
0.8750 0.8750 0.8750 Rb
0.0000 0.5000 0.5000 Mg
0.5000 0.0000 0.5000 Mg
0.5000 0.5000 0.0000 Mg
0.5000 0.5000 0.5000 Mg
```

# 11
A plane-wave DFT calculation with PBE-GGA was carried out for a relaxed RbMg3 crystal.

Computed properties:
Energy relative to the lowest polymorph listed for this composition (meV/atom): 836
Formation energy from the elements (eV/atom): 1.023
Density (g/cm3): 0.52
Raw total energy (eV per atom): -0.4146
Symmetry: No. 221

The structure in POSCAR format:
```
RbMg3
1.0
7.9547 0.0000 0.0000
0.0000 7.9547 0.0000
0.0000 0.0000 7.9547
Rb Mg
1 3
Direct
0.0000 0.0000 0.0000 Rb
0.0000 0.0000 0.5000 Mg
0.0000 0.5000 0.0000 Mg
0.5000 0.0000 0.0000 Mg
```

# 12
A plane-wave DFT calculation with PBE-GGA was carried out for a relaxed RbMg2 crystal.

Computed properties:
Formation energy from the elements (eV/atom): 0.335
Density (g/cm3): 2.07
Raw total energy (eV per atom): -1.0506
Symmetry: No. 164

The structure in POSCAR format:
```
RbMg2
1.0
3.6936 0.0000 0.0000
-1.8468 3.1987 0.0000
0.0000 0.0000 9.1079
Rb Mg
1 2
Direct
0.0000 0.0000 0.0000 Rb
0.3333 0.6667 0.6320 Mg
0.6667 0.3333 0.3680 Mg
```

# 13
A plane-wave DFT calculation with PBE-GGA was carried out for a relaxed Rb3Mg crystal.

Computed properties:
Formation energy from the elements (eV/atom): 0.172
Density (g/cm3): 1.80
Raw total energy (eV per atom): -0.9520
Symmetry: No. 139

The structure in POSCAR format:
```
Rb3Mg
1.0
6.4824 0.0000 0.0000
0.0000 6.4824 0.0000
0.0000 0.0000 24.7143
Rb Mg
12 4
Direct
0.0000 0.0000 0.1257 Rb
0.0000 0.0000 0.8743 Rb
0.0000 0.5000 0.0000 Rb
0.0000 0.5000 0.2500 Rb
0.0000 0.5000 0.5000 Rb
0.0000 0.5000 0.7500 Rb
0.5000 0.0000 0.0000 Rb
0.5000 0.0000 0.2500 Rb
0.5000 0.0000 0.5000 Rb
0.5000 0.0000 0.7500 Rb
0.5000 0.5000 0.3743 Rb
0.5000 0.5000 0.6257 Rb
0.0000 0.0000 0.3702 Mg
0.0000 0.0000 0.6298 Mg
0.5000 0.5000 0.1298 Mg
0.5000 0.5000 0.8702 Mg
```

# 14
A plane-wave DFT calculation with PBE-GGA was carried out for a relaxed RbMg3 crystal.

Computed properties:
Energy relative to the lowest polymorph listed for this composition (meV/atom): 166
Formation energy from the elements (eV/atom): 0.353
Density (g/cm3): 1.90
Raw total energy (eV per atom): -1.0850
Symmetry: No. 221

The structure in POSCAR format:
```
RbMg3
1.0
5.1691 0.0000 0.0000
0.0000 5.1691 0.0000
0.0000 0.0000 5.1691
Rb Mg
1 3
Direct
0.0000 0.0000 0.0000 Rb
0.0000 0.5000 0.5000 Mg
0.5000 0.0000 0.5000 Mg
0.5000 0.5000 0.0000 Mg
```

# 15
A plane-wave DFT calculation with PBE-GGA was carried out for a relaxed RbMg3 crystal.

Computed properties:
Energy relative to the lowest polymorph listed for this composition (meV/atom): 165
Formation energy from the elements (eV/atom): 0.352
Density (g/cm3): 1.99
Raw total energy (eV per atom): -1.0860
Symmetry: No. 65

The structure in POSCAR format:
```
RbMg3
1.0
7.3236 0.0000 0.0000
0.0000 10.7867 0.0000
0.0000 0.0000 3.3484
Rb Mg
2 6
Direct
0.0000 0.0000 0.0000 Rb
0.5000 0.5000 0.0000 Rb
0.0000 0.5000 0.0000 Mg
0.2500 0.2500 0.5000 Mg
0.2500 0.7500 0.5000 Mg
0.5000 0.0000 0.0000 Mg
0.7500 0.2500 0.5000 Mg
0.7500 0.7500 0.5000 Mg
```

# 16
A plane-wave DFT calculation with PBE-GGA was carried out for a relaxed Rb3Mg crystal.

Computed properties:
Formation energy from the elements (eV/atom): 0.141
Density (g/cm3): 1.68
Raw total energy (eV per atom): -0.9831
Symmetry: No. 62

The structure in POSCAR format:
```
Rb3Mg
1.0
10.7762 0.0000 0.0000
0.0000 12.4543 0.0000
0.0000 0.0000 8.2479
Rb Mg
12 4
Direct
0.0258 0.2500 0.1050 Rb
0.1753 0.0566 0.6372 Rb
0.1753 0.4434 0.6372 Rb
0.3247 0.5566 0.1372 Rb
0.3247 0.9434 0.1372 Rb
0.4742 0.7500 0.6050 Rb
0.5258 0.2500 0.3950 Rb
0.6753 0.0566 0.8628 Rb
0.6753 0.4434 0.8628 Rb
0.8247 0.5566 0.3628 Rb
0.8247 0.9434 0.3628 Rb
0.9742 0.7500 0.8950 Rb
0.1206 0.7500 0.4349 Mg
0.3794 0.2500 0.9349 Mg
0.6206 0.7500 0.0651 Mg
0.8794 0.2500 0.5651 Mg
```

# 17
A plane-wave DFT calculation with PBE-GGA was carried out for a relaxed RbMg2 crystal.

Computed properties:
Formation energy from the elements (eV/atom): 0.627
Density (g/cm3): 1.42
Raw total energy (eV per atom): -0.7587
Symmetry: No. 225

The structure in POSCAR format:
```
RbMg2
1.0
8.5673 0.0000 0.0000
0.0000 8.5673 0.0000
0.0000 0.0000 8.5673
Rb Mg
4 8
Direct
0.0000 0.0000 0.0000 Rb
0.0000 0.5000 0.5000 Rb
0.5000 0.0000 0.5000 Rb
0.5000 0.5000 0.0000 Rb
0.2500 0.2500 0.2500 Mg
0.2500 0.2500 0.7500 Mg
0.2500 0.7500 0.2500 Mg
0.2500 0.7500 0.7500 Mg
0.7500 0.2500 0.2500 Mg
0.7500 0.2500 0.7500 Mg
0.7500 0.7500 0.2500 Mg
0.7500 0.7500 0.7500 Mg
```

# 18
A plane-wave DFT calculation with PBE-GGA was carried out for a relaxed Rb5Mg3 crystal.

Computed properties:
Energy relative to the lowest polymorph listed for this composition (meV/atom): 5
Formation energy from the elements (eV/atom): 0.226
Density (g/cm3): 1.77
Raw total energy (eV per atom): -0.9766
Symmetry: No. 193

The structure in POSCAR format:
```
Rb5Mg3
1.0
11.7128 0.0000 0.0000
-5.8564 10.1436 0.0000
0.0000 0.0000 7.8963
Rb Mg
10 6
Direct
0.0000 0.2515 0.2500 Rb
0.0000 0.7485 0.7500 Rb
0.2515 0.0000 0.2500 Rb
0.2515 0.2515 0.7500 Rb
0.3333 0.6667 0.0000 Rb
0.3333 0.6667 0.5000 Rb
0.6667 0.3333 0.0000 Rb
0.6667 0.3333 0.5000 Rb
0.7485 0.0000 0.7500 Rb
0.7485 0.7485 0.2500 Rb
0.0000 0.4106 0.7500 Mg
0.0000 0.5894 0.2500 Mg
0.4106 0.0000 0.7500 Mg
0.4106 0.4106 0.2500 Mg
0.5894 0.0000 0.2500 Mg
0.5894 0.5894 0.7500 Mg
```

# 19
A plane-wave DFT calculation with PBE-GGA was carried out for a relaxed Rb5Mg crystal.

Computed properties:
Energy relative to the lowest polymorph listed for this composition (meV/atom): 0
Formation energy from the elements (eV/atom): 0.104
Density (g/cm3): 1.64
Raw total energy (eV per atom): -0.9676
Symmetry: No. 123

The structure in POSCAR format:
```
Rb5Mg
1.0
4.8257 0.0000 0.0000
0.0000 4.8257 0.0000
0.0000 0.0000 19.6427
Rb Mg
5 1
Direct
0.0000 0.0000 0.0000 Rb
0.0000 0.0000 0.3842 Rb
0.0000 0.0000 0.6158 Rb
0.5000 0.5000 0.1942 Rb
0.5000 0.5000 0.8058 Rb
0.5000 0.5000 0.5000 Mg
```

# 20
A plane-wave DFT calculation with PBE-GGA was carried out for a relaxed RbMg3 crystal.

Computed properties:
Energy relative to the lowest polymorph listed for this composition (meV/atom): 107
Formation energy from the elements (eV/atom): 0.294
Density (g/cm3): 2.00
Raw total energy (eV per atom): -1.1437
Symmetry: No. 44

The structure in POSCAR format:
```
RbMg3
1.0
3.3538 0.0000 0.0000
0.0000 12.5500 0.0000
0.0000 0.0000 6.2395
Rb Mg
2 6
Direct
0.0000 0.0000 0.0000 Rb
0.5000 0.5000 0.5000 Rb
0.0000 0.2135 0.5021 Mg
0.0000 0.5000 0.0000 Mg
0.0000 0.7865 0.5021 Mg
0.5000 0.0000 0.5000 Mg
0.5000 0.2865 0.0021 Mg
0.5000 0.7135 0.0021 Mg
```